Material: PdSe6S2
Method: DFT, PBE
State: relaxed

a b c (Å): 4.4412 7.2042 7.8237
angles (deg): 65.85 87.35 84.85
Last column: nearest neighbours and their distance in Å.
Element x y z (fractional)
Pd: 0.0000 0.0000 0.0000  2 S 2.32, 2 Se 2.52
Se: 0.1052 0.1951 0.4944  1 S 2.19, 1 Se 2.43
Se: 0.1926 0.5990 0.7822  2 Se 2.39-2.43
Se: 0.4186 0.8365 0.8684  1 Se 2.39, 1 Pd 2.52
Se: 0.5814 0.1635 0.1316  1 Se 2.39, 1 Pd 2.52
Se: 0.8074 0.4010 0.2178  2 Se 2.39-2.43
Se: 0.8948 0.8049 0.5056  1 S 2.19, 1 Se 2.43
S: 0.1820 0.7631 0.2865  1 Se 2.19, 1 Pd 2.32
S: 0.8180 0.2369 0.7135  1 Se 2.19, 1 Pd 2.32

Properties
**Final energy**: -33.950 eV for the cell shown

=====

Material: Pd2Se3S
Method: DFT, PBE
State: relaxed

a b c (Å): 9.7801 9.7801 6.5061
angles (deg): 90.67 90.67 21.94
Last column: nearest neighbours and their distance in Å.
Element x y z (fractional)
Pd: 0.0000 0.0000 0.0000  1 S 2.38, 5 Se 2.52-2.63
Pd: 0.5015 0.5015 0.3982  2 S 2.41, 2 Se 2.51
Se: 0.4389 0.4389 0.7787  1 Se 2.33
Se: 0.5604 0.5604 0.7783  1 Se 2.33
Se: 0.9191 0.9191 0.3027  3 Pd 2.51-2.52
S: 0.0733 0.0733 0.2976  3 Pd 2.38-2.41

Properties
**Relative energy among the computed polymorphs**: 0.5 kJ per mole of atoms

=====

Material: Pd2SeS3
Method: DFT, PBE
State: relaxed

a b c (Å): 5.8891 5.8891 7.3415
angles (deg): 101.93 101.93 35.28
Last column: nearest neighbours and their distance in Å.
Element x y z (fractional)
Pd: 0.0000 0.0000 0.0000  4 S 2.38, 1 Se 2.50
Pd: 0.5366 0.5366 0.3157  4 S 2.39-2.44
Se: 0.9432 0.9432 0.6517  1 S 2.14
S: 0.1004 0.1004 0.5320  1 Se 2.14
S: 0.3686 0.3686 0.0426  3 Pd 2.38-2.44
S: 0.6427 0.6427 0.0645  3 Pd 2.38-2.40

Properties
**Relative energy among the computed polymorphs**: 0.0 kJ per mole of atoms

=====

Material: PdSe2S2
Method: DFT, PBE
State: relaxed

a b c (Å): 4.6071 13.9884 3.2645
angles (deg): 90.00 90.00 90.00
Last column: nearest neighbours and their distance in Å.
Element x y z (fractional)
Pd: 0.0000 0.0000 0.0000  2 S 2.35
Pd: 0.5000 0.5000 0.0000  2 S 2.35
Se: 0.1872 0.3869 0.5000  2 S 2.42, 2 Pd 2.69
Se: 0.3128 0.8869 0.5000  2 S 2.42, 2 Pd 2.69
Se: 0.6872 0.1131 0.5000  2 S 2.42, 2 Pd 2.69
Se: 0.8128 0.6131 0.5000  2 S 2.42, 2 Pd 2.69
S: 0.1962 0.6346 0.0000  1 Pd 2.35, 2 Se 2.42
S: 0.3038 0.1346 0.0000  1 Pd 2.35, 2 Se 2.42
S: 0.6962 0.8654 0.0000  1 Pd 2.35, 2 Se 2.42
S: 0.8038 0.3654 0.0000  1 Pd 2.35, 2 Se 2.42

Properties
**Relative energy among the computed polymorphs**: 0.0 kJ per mole of atoms

=====

Material: SiPdSeS2
Method: DFT, PBE
State: relaxed

a b c (Å): 7.7811 7.7811 9.5779
angles (deg): 107.14 107.14 25.74
Last column: nearest neighbours and their distance in Å.
Element x y z (fractional)
Si: 0.0867 0.0867 0.2983  3 S 2.14-2.19, 1 Se 2.32
Si: 0.9133 0.9133 0.7017  3 S 2.14-2.19, 1 Se 2.32
Pd: 0.3931 0.3931 0.0179  2 S 2.36, 2 Se 2.46
Pd: 0.6069 0.6069 0.9821  2 S 2.36, 2 Se 2.46
Se: 0.0733 0.0733 0.7916  1 Si 2.32, 2 Pd 2.46
Se: 0.9267 0.9267 0.2084  1 Si 2.32, 2 Pd 2.46
S: 0.1678 0.1678 0.1507  1 Si 2.14, 2 Pd 2.36
S: 0.3739 0.3739 0.5573  2 Si 2.19
S: 0.6261 0.6261 0.4427  2 Si 2.19
S: 0.8322 0.8322 0.8493  1 Si 2.14, 2 Pd 2.36

Properties
**Final energy**: -49.593 eV for the cell shown

=====

Material: Ta2PdSe4S2
Method: DFT, PBE
State: relaxed

a b c (Å): 6.7900 6.7900 10.5816
angles (deg): 117.79 117.79 28.72
Last column: nearest neighbours and their distance in Å.
Element x y z (fractional)
Ta: 0.1828 0.1828 0.2980  3 S 2.50-2.62, 4 Se 2.63-2.64
Ta: 0.8172 0.8172 0.7020  3 S 2.50-2.62, 4 Se 2.63-2.64
Pd: 0.5000 0.5000 0.0000  4 Se 2.48
Se: 0.2847 0.2847 0.8697  1 Pd 2.48, 2 Ta 2.63
Se: 0.4883 0.4883 0.7589  1 Pd 2.48, 2 Ta 2.64
Se: 0.5117 0.5117 0.2411  1 Pd 2.48, 2 Ta 2.64
Se: 0.7153 0.7153 0.1303  1 Pd 2.48, 2 Ta 2.63
S: 0.1729 0.1729 0.5390  3 Ta 2.50-2.62
S: 0.8271 0.8271 0.4610  3 Ta 2.50-2.62

Properties
**Relative energy among the computed polymorphs**: 0.0 kJ per mole of atoms

=====

Material: Ta2PdSe4S2
Method: DFT, PBE
State: relaxed

a b c (Å): 6.7047 6.7047 10.5155
angles (deg): 116.30 116.30 29.01
Last column: nearest neighbours and their distance in Å.
Element x y z (fractional)
Ta: 0.1754 0.1754 0.2866  2 S 2.49, 5 Se 2.63-2.76
Ta: 0.8246 0.8246 0.7134  2 S 2.49, 5 Se 2.63-2.76
Pd: 0.5000 0.5000 0.0000  2 S 2.36, 2 Se 2.49
Se: 0.1628 0.1628 0.5414  3 Ta 2.65-2.76
Se: 0.4941 0.4941 0.7596  1 Pd 2.49, 2 Ta 2.63
Se: 0.5059 0.5059 0.2404  1 Pd 2.49, 2 Ta 2.63
Se: 0.8372 0.8372 0.4586  3 Ta 2.65-2.76
S: 0.2962 0.2962 0.8690  1 Pd 2.36, 2 Ta 2.49
S: 0.7038 0.7038 0.1310  1 Pd 2.36, 2 Ta 2.49

Properties
**Relative energy among the computed polymorphs**: 0.4 kJ per mole of atoms

=====

Material: Si3PdS
Method: DFT, PBE
State: relaxed

a b c (Å): 4.4352 4.4352 4.4352
angles (deg): 90.00 90.00 90.00
Last column: nearest neighbours and their distance in Å.
Element x y z (fractional)
Si: 0.0000 0.0000 0.5000  2 S 2.22
Si: 0.0000 0.5000 0.0000  2 S 2.22
Si: 0.5000 0.0000 0.0000  2 S 2.22
Pd: 0.5000 0.5000 0.5000  12 Si 3.14
S: 0.0000 0.0000 0.0000  6 Si 2.22

Properties
**Final energy**: -21.562 eV for the cell shown